First-principles (PBE+U) data for an optimized crystal structure of Te2MoPbO8, as listed in Alexandria.

Cell lengths 7.7395, 7.7395, 7.7395 Å; angles 40.45, 40.45, 40.45 degrees
Positions (direct):
Te1 0.2260 0.2260 0.2260
Te2 0.7740 0.7740 0.7740
Mo1 0.5000 0.5000 0.5000
Pb1 0.0000 0.0000 0.0000
O1 0.1934 0.3779 0.7551
O2 0.2449 0.6221 0.8066
O3 0.3121 0.3121 0.3121
O4 0.3779 0.7551 0.1934
O5 0.6221 0.8066 0.2449
O6 0.6879 0.6879 0.6879
O7 0.7551 0.1934 0.3779
O8 0.8066 0.2449 0.6221

Values from the calculation:
E = -67.85 eV/cell
Crystal system = trigonal
M_tot = 0.0 μB per cell
Symmetry = R32 (155)